(1)
The following is a PBE calculation of a geometry-optimized RbTc3Te structure, from Alexandria.

Its energy relative to the lowest polymorph listed for this composition is 1391 meV per atom. As for the density of states at the Fermi level: 5.98 states/eV/cell. The uncorrected formation energy is 301 kJ per mole of atoms. The total moment is 7.14 Bohr magnetons per cell. Its total DFT energy (no corrections) is -3.926 eV/atom.

The structure belongs to space group Pm-3m (No. 221); the cell edges are 4.907, 4.907 and 4.907 Å and the angles 90.00°, 90.00° and 90.00°. The distinct sites, in fractional coordinates, are Rb at (0.000, 0.000, 0.000), Tc at (0.000, 0.000, 0.500) and Te at (0.500, 0.500, 0.500).



(2)
The following is a PBE calculation of a geometry-optimized RbTcTe2 structure, from Alexandria.

Its energy relative to the lowest polymorph listed for this composition is 0 meV per atom. As for the density of states at the Fermi level: 18.68 states/eV/cell. The uncorrected formation energy is -16 kJ per mole of atoms. The total moment is 0.00 Bohr magnetons per cell. Its total DFT energy (no corrections) is -4.575 eV/atom.

The structure belongs to space group I-42d (No. 122); the cell edges are 8.111, 8.111 and 9.031 Å and the angles 90.00°, 90.00° and 90.00°. The distinct sites, in fractional coordinates, are Rb at (0.000, 0.000, 0.000), Tc at (0.000, 0.000, 0.500) and Te at (0.138, 0.250, 0.625).



Copy entry 1 word for word.
The following is a PBE calculation of a geometry-optimized RbTc3Te structure, from Alexandria.

Its energy relative to the lowest polymorph listed for this composition is 1391 meV per atom. As for the density of states at the Fermi level: 5.98 states/eV/cell. The uncorrected formation energy is 301 kJ per mole of atoms. The total moment is 7.14 Bohr magnetons per cell. Its total DFT energy (no corrections) is -3.926 eV/atom.

The structure belongs to space group Pm-3m (No. 221); the cell edges are 4.907, 4.907 and 4.907 Å and the angles 90.00°, 90.00° and 90.00°. The distinct sites, in fractional coordinates, are Rb at (0.000, 0.000, 0.000), Tc at (0.000, 0.000, 0.500) and Te at (0.500, 0.500, 0.500).



Number 2 is which compound?
RbTcTe2